A relaxed AcDy6Er4 crystal. Source: Alexandria via LeMat-Bulk, functional PBE.

Summary:
Energy of formation, eV per atom: 0.144
SG: Cmcm
Electronic total energy, eV for the cell shown: -96.8

Geometry as POSCAR:
```
AcDy6Er4
1.0
5.777 0.000 0.000
-2.889 4.849 0.000
0.000 0.000 25.555
Ac Dy Er
2 12 8
Cartesian
2.889 2.938 6.389
0.000 1.910 19.166
2.889 0.000 0.000
2.889 0.000 12.777
0.000 1.298 8.211
2.889 3.550 17.344
2.889 3.550 20.988
0.000 1.298 4.567
2.889 2.953 10.271
0.000 1.896 15.284
0.000 1.896 23.048
2.889 2.953 2.507
0.000 4.526 6.389
2.889 0.323 19.166
2.889 3.348 13.842
0.000 4.494 3.118
0.000 1.501 11.713
2.889 0.355 22.437
2.889 3.348 24.490
0.000 1.501 1.065
2.889 0.355 15.896
0.000 4.494 9.659
```